(1)
The following is a DFT calculation (PBE-GGA) of an optimized crystal structure of Pm2ScP3.

```
Pm2ScP3
1.0
-1.252 -1.927 8.657
-1.435 3.742 8.010
-1.473 -1.049 -8.772
Pm P Sc
2 3 1
Direct
0.665 0.665 0.000
0.335 0.335 0.000
0.840 0.840 0.000
0.500 0.500 0.000
0.160 0.160 0.000
0.000 0.000 0.000
```

Values from the calculation:
- calculated formation energy (eV per atom) = -1.47



(2)
The following is a DFT calculation (PBE-GGA) of an optimized crystal structure of Eu3Sc5H12.

```
Eu3Sc5H12
1.0
11.002 0.000 0.000
-3.667 10.373 0.000
-3.667 -5.186 8.983
H Sc Eu
48 20 12
Direct
0.411 0.370 0.577
0.667 0.208 0.577
0.041 0.411 0.833
0.589 0.630 0.423
0.423 0.130 0.589
0.041 0.630 0.708
0.911 0.833 0.541
0.167 0.089 0.959
0.411 0.041 0.333
0.333 0.792 0.423
0.208 0.667 0.077
0.077 0.167 0.208
0.577 0.708 0.667
0.833 0.911 0.041
0.130 0.708 0.541
0.792 0.333 0.923
0.577 0.870 0.411
0.089 0.923 0.130
0.923 0.089 0.630
0.833 0.923 0.292
0.208 0.541 0.630
0.459 0.792 0.870
0.911 0.077 0.870
0.667 0.459 0.589
0.708 0.577 0.167
0.870 0.292 0.459
0.459 0.667 0.089
0.292 0.423 0.833
0.541 0.333 0.911
0.423 0.292 0.333
0.630 0.041 0.208
0.870 0.577 0.911
0.370 0.959 0.792
0.589 0.959 0.667
0.630 0.589 0.923
0.792 0.459 0.370
0.370 0.411 0.077
0.923 0.833 0.792
0.167 0.077 0.708
0.077 0.911 0.370
0.541 0.208 0.130
0.959 0.370 0.292
0.130 0.423 0.089
0.708 0.130 0.041
0.333 0.541 0.411
0.959 0.589 0.167
0.292 0.870 0.959
0.089 0.167 0.459
0.500 0.500 0.500
0.625 0.750 0.875
0.750 0.125 0.875
0.375 0.125 0.750
0.500 0.000 0.000
0.500 0.500 0.000
0.500 0.000 0.500
0.750 0.625 0.375
0.375 0.250 0.125
0.125 0.750 0.375
0.000 0.500 0.000
0.000 0.000 0.000
0.625 0.875 0.250
0.250 0.875 0.125
0.875 0.625 0.750
0.875 0.250 0.625
0.250 0.375 0.625
0.000 0.000 0.500
0.125 0.375 0.250
0.000 0.500 0.500
0.625 0.375 0.750
0.750 0.375 0.125
0.625 0.250 0.375
0.875 0.750 0.125
0.375 0.750 0.625
0.250 0.625 0.875
0.125 0.875 0.750
0.250 0.125 0.375
0.875 0.125 0.250
0.125 0.250 0.875
0.375 0.625 0.250
0.750 0.875 0.625
```



(3)
The following is a DFT calculation (PBE-GGA) of an optimized crystal structure of Na3Cu5Br12.

```
Na3Cu5Br12
1.0
14.110 0.000 0.000
-4.703 13.303 0.000
-4.703 -6.652 11.521
Br Cu Na
48 20 12
Direct
0.602 0.622 0.426
0.622 0.602 0.926
0.196 0.520 0.622
0.378 0.398 0.074
0.898 0.823 0.520
0.323 0.520 0.398
0.074 0.177 0.196
0.696 0.122 0.020
0.804 0.323 0.926
0.177 0.102 0.980
0.020 0.398 0.823
0.677 0.480 0.602
0.398 0.378 0.574
0.398 0.020 0.323
0.677 0.196 0.574
0.823 0.898 0.020
0.196 0.677 0.074
0.602 0.980 0.677
0.980 0.602 0.177
0.323 0.804 0.426
0.804 0.480 0.378
0.696 0.574 0.177
0.378 0.980 0.804
0.926 0.102 0.622
0.520 0.323 0.898
0.122 0.426 0.102
0.574 0.878 0.398
0.480 0.804 0.878
0.980 0.378 0.304
0.304 0.426 0.823
0.480 0.677 0.102
0.574 0.696 0.677
0.878 0.304 0.480
0.823 0.926 0.304
0.878 0.574 0.898
0.020 0.622 0.696
0.122 0.696 0.520
0.926 0.823 0.804
0.898 0.074 0.878
0.304 0.878 0.980
0.177 0.074 0.696
0.102 0.926 0.122
0.622 0.020 0.196
0.074 0.898 0.378
0.102 0.177 0.480
0.520 0.196 0.122
0.426 0.122 0.602
0.426 0.304 0.323
0.500 0.500 0.000
0.000 0.000 0.000
0.500 0.000 0.500
0.000 0.500 0.000
0.000 0.000 0.500
0.375 0.125 0.750
0.000 0.500 0.500
0.625 0.875 0.250
0.500 0.000 0.000
0.125 0.375 0.250
0.750 0.125 0.875
0.625 0.750 0.875
0.750 0.625 0.375
0.875 0.250 0.625
0.125 0.750 0.375
0.875 0.625 0.750
0.375 0.250 0.125
0.250 0.875 0.125
0.250 0.375 0.625
0.500 0.500 0.500
0.250 0.125 0.375
0.125 0.250 0.875
0.125 0.875 0.750
0.375 0.625 0.250
0.875 0.750 0.125
0.750 0.375 0.125
0.625 0.250 0.375
0.375 0.750 0.625
0.250 0.625 0.875
0.625 0.375 0.750
0.875 0.125 0.250
0.750 0.875 0.625
```

Values from the calculation:
- formation energy (no corrections) (eV/atom) = -0.64



Number 1: DFT total energy -40.9 eV for the cell shown. Number 2: DFT total energy -445.2 eV for the cell shown. Number 3: DFT total energy -228.9 eV for the cell shown.